Entry from Alexandria: crystalline Ca3Np3ZnN8 at its relaxed geometry (PBE).

Calculated values
Energy relative to the elements, uncorrected ... -0.8278 eV/atom
Total energy ... -8.341 eV/atom
D(E_F) ... 0.7660 states/eV/atom

Cell lengths 6.7602, 6.7602, 16.8699 Å; angles 90.00, 90.00, 120.00 degrees
Last column: nearest neighbours and their distance in Å.
Space group R-3m (No. 166, hexagonal axes)
Inequivalent atoms, fractional coordinates:
Ca: 0.0000 0.5000 0.0000 (multiplicity 9)  6 N 2.48-2.62
Np: 0.0000 0.5000 0.5000 (multiplicity 9)  6 N 2.21-2.33
Zn: 0.0000 0.0000 0.5000 (multiplicity 3)  6 N 2.32
N: 0.0000 0.0000 0.2422 (multiplicity 6)  3 Np 2.33, 3 Ca 2.48
N: 0.0140 0.5070 0.7676 (multiplicity 18)  2 Np 2.21, 1 Zn 2.32